No. 1
The following is a DFT calculation (GGA-PBEsol) of a geometry-optimized Na4Al3Si7H8O24 structure.

Space group = No. 1
DFT total energy = -314.5 eV/f.u.

Geometry as extended XYZ:
```
46
Lattice="6.590 0.000 0.001 3.275 9.236 0.000 3.288 -0.087 9.342" Properties=species:S:1:pos:R:3 pbc="T T T"
Na 5.725 0.543 5.188
Na 5.793 8.695 4.092
Na 4.102 4.064 0.572
Na 10.676 4.999 8.815
Al 5.753 3.871 6.423
Al 5.733 5.338 2.936
Al 4.107 0.696 1.754
Si 5.781 1.666 8.614
Si 5.757 7.462 0.733
Si 4.148 2.839 3.930
Si 10.749 6.337 5.465
Si 8.278 4.617 4.680
Si 3.300 9.228 0.007
Si 10.639 8.448 7.651
H 8.467 3.688 7.317
H 8.464 5.480 2.024
H 6.908 0.915 2.710
H 6.968 8.095 6.599
H 9.391 2.650 8.110
H 2.798 6.461 1.161
H 7.844 1.866 3.597
H 7.923 7.253 5.646
O 5.729 3.175 8.033
O 5.707 5.929 1.263
O 4.055 1.299 3.396
O 10.654 7.872 6.112
O 7.420 4.168 5.980
O 7.411 5.087 3.391
O 5.797 0.455 1.320
O 12.200 8.696 8.092
O 6.520 0.621 7.537
O 6.455 8.437 1.815
O 4.828 3.836 2.839
O 4.825 5.359 6.566
O 4.225 1.145 8.786
O 4.213 7.913 0.363
O 9.189 3.333 4.225
O 9.186 5.917 5.155
O 8.966 3.536 8.174
O 8.960 5.574 1.158
O 7.388 0.990 3.582
O 7.425 8.109 5.724
O 4.993 2.765 5.314
O 4.991 6.462 4.080
O 3.318 1.806 0.656
O 9.914 7.363 8.649
```

=====

No. 2
The following is a DFT calculation (GGA-PBEsol) of a geometry-optimized Sn3PIr structure.

Space group = No. 221
DFT total energy = -26.9 eV/f.u.
Energy relative to the elements = 0.292 eV per atom

Geometry as extended XYZ:
```
5
Lattice="-1.082 -4.664 -1.533 0.765 -1.711 4.665 -4.849 0.771 1.078" Properties=species:S:1:pos:R:3 pbc="T T T"
P -2.583 -2.802 2.105
Ir 0.000 0.000 0.000
Sn 0.383 -0.855 2.332
Sn -2.425 0.386 0.539
Sn -0.541 -2.332 -0.766
```

=====

No. 3
The following is a DFT calculation (GGA-PBEsol) of a geometry-optimized CoRh5 structure.

Space group = No. 123
DFT total energy = -48.3 eV/f.u.
Energy relative to the elements = 0.029 eV per atom

Geometry as extended XYZ:
```
6
Lattice="2.654 0.000 0.000 0.000 2.654 0.000 0.000 0.000 11.036" Properties=species:S:1:pos:R:3 pbc="T T T"
Rh 1.327 1.327 9.313
Rh 0.000 0.000 7.410
Rh 1.327 1.327 5.518
Rh 0.000 0.000 3.626
Rh 1.327 1.327 1.723
Co 0.000 0.000 0.000
```

=====

No. 4
The following is a DFT calculation (GGA-PBEsol) of a geometry-optimized CsAlAgF6 structure.

Space group = No. 62
DFT total energy = -43.7 eV/f.u.

Geometry as extended XYZ:
```
36
Lattice="-5.045 4.096 -3.172 -1.789 -5.614 -4.404 -6.920 -3.194 6.882" Properties=species:S:1:pos:R:3 pbc="T T T"
Cs -2.990 -2.034 -1.991
Cs -10.763 -2.678 1.298
Cs -8.179 0.909 1.819
Cs -5.575 -5.622 -2.512
Al -2.523 2.048 -1.586
Al -6.877 -2.356 -0.347
Al 0.000 0.000 0.000
Al -4.354 -4.404 1.239
Ag -5.907 1.119 -1.525
Ag -7.011 -3.051 3.091
Ag -6.743 -1.661 -3.784
Ag -7.847 -5.831 0.831
F -8.235 -1.603 -1.335
F -5.518 -3.109 0.641
F -5.975 -1.390 3.587
F -6.091 -0.745 -0.126
F -10.775 -0.381 4.283
F -10.140 -0.188 -0.282
F -6.865 -0.760 -5.938
F -7.663 -3.967 -0.567
F -3.701 0.794 -1.013
F -5.754 0.006 -3.204
F -1.373 -1.095 0.451
F -5.942 -2.634 -1.875
F -4.715 -2.505 -4.586
F -5.513 -5.712 0.784
F -7.779 -3.323 -4.281
F -6.889 -3.953 5.244
F -7.812 -2.078 1.182
F -8.000 -4.719 2.510
F -2.978 -4.331 -4.976
F -10.053 -5.507 0.319
F -3.614 -4.524 -0.411
F -9.039 -2.208 3.892
F -12.381 -3.617 -1.145
F -8.241 1.000 -1.478
```

=====

No. 5
The following is a DFT calculation (GGA-PBEsol) of a geometry-optimized K2CaSiB structure.

Space group = No. 123
DFT total energy = -12.1 eV/f.u.

Geometry as extended XYZ:
```
5
Lattice="-0.564 4.558 2.662 -3.628 1.745 -3.757 -4.101 -2.219 2.930" Properties=species:S:1:pos:R:3 pbc="T T T"
Ca -0.282 2.279 1.331
B 0.000 0.000 0.000
Si -4.147 2.042 0.918
K -2.050 -1.109 1.465
K -1.814 0.873 -1.878
```

=====

No. 6
The following is a DFT calculation (GGA-PBEsol) of a geometry-optimized CoMoRh2 structure.

Space group = No. 139
DFT total energy = -36.3 eV/f.u.
Energy relative to the elements = -0.125 eV per atom

Geometry as extended XYZ:
```
4
Lattice="-3.295 1.767 0.335 -1.787 -3.297 -0.182 2.747 0.449 3.615" Properties=species:S:1:pos:R:3 pbc="T T T"
Rh -1.545 0.726 2.013
Rh -0.790 -1.806 1.755
Mo -2.541 -0.765 0.076
Co 0.000 0.000 0.000
```

=====

No. 7
The following is a DFT calculation (GGA-PBEsol) of a geometry-optimized La2Cu structure.

Space group = No. 164
DFT total energy = -14.8 eV/f.u.
Energy relative to the elements = 0.091 eV per atom

Geometry as extended XYZ:
```
3
Lattice="3.703 0.000 0.000 -1.851 3.207 0.000 0.000 0.000 7.049" Properties=species:S:1:pos:R:3 pbc="T T T"
Cu 0.000 0.000 0.000
La 1.851 1.069 5.014
La 0.000 2.138 2.035
```

=====

No. 8
The following is a DFT calculation (GGA-PBEsol) of a geometry-optimized TlReP2 structure.

Space group = No. 6
DFT total energy = -26.6 eV/f.u.
Energy relative to the elements = 0.242 eV per atom

Geometry as extended XYZ:
```
4
Lattice="-1.754 -2.278 1.211 2.510 -2.715 -1.470 1.939 1.549 5.720" Properties=species:S:1:pos:R:3 pbc="T T T"
P 0.499 0.242 1.177
P 0.954 -2.579 0.549
Re 2.389 -0.988 1.602
Tl 1.078 -0.702 4.258
```

=====

No. 9
The following is a DFT calculation (GGA-PBEsol) of a geometry-optimized SiP3 structure.

Space group = No. 139
DFT total energy = -21.2 eV/f.u.

Geometry as extended XYZ:
```
4
Lattice="-1.186 -3.033 2.756 4.100 1.114 -0.312 1.877 2.149 3.172" Properties=species:S:1:pos:R:3 pbc="T T T"
P 2.223 0.336 1.326
P 0.346 -0.442 2.964
P 2.569 -0.106 4.290
Si 0.000 0.000 0.000
```

=====

No. 10
The following is a DFT calculation (GGA-PBEsol) of a geometry-optimized Te2CF structure.

Space group = No. 225
DFT total energy = -15.7 eV/f.u.

Geometry as extended XYZ:
```
4
Lattice="4.481 0.000 0.000 2.240 3.880 0.000 2.240 1.293 3.658" Properties=species:S:1:pos:R:3 pbc="T T T"
C 0.000 0.000 0.000
Te 2.240 1.293 0.915
Te 6.721 3.880 2.744
F 4.481 2.587 1.829
```

=====

No. 11
The following is a DFT calculation (GGA-PBEsol) of a geometry-optimized CaLaI5 structure.

Space group = No. 62
DFT total energy = -26.6 eV/f.u.

Geometry as extended XYZ:
```
28
Lattice="4.386 0.000 0.000 0.000 14.708 0.000 0.000 0.000 18.537" Properties=species:S:1:pos:R:3 pbc="T T T"
Ca 3.289 11.021 2.994
Ca 1.096 3.666 6.275
Ca 3.289 11.042 12.262
Ca 1.096 3.688 15.544
La 3.289 3.714 1.656
La 1.096 11.068 7.613
La 3.289 3.640 10.925
La 1.096 10.994 16.881
I 1.096 5.601 0.473
I 1.096 12.587 1.063
I 1.096 8.914 3.014
I 1.096 1.792 2.788
I 3.289 5.274 4.383
I 1.096 12.628 4.885
I 3.289 9.146 6.481
I 3.289 1.560 6.255
I 3.289 5.233 8.206
I 3.289 12.955 8.795
I 1.096 1.754 9.742
I 1.096 9.476 10.331
I 1.096 13.149 12.283
I 1.096 5.562 12.057
I 3.289 2.080 13.652
I 1.096 9.435 14.154
I 3.289 12.916 15.749
I 3.289 5.794 15.523
I 3.289 2.122 17.475
I 3.289 9.108 18.064
```

=====

No. 12
The following is a DFT calculation (GGA-PBEsol) of a geometry-optimized Na3VS4 structure.

Space group = No. 114
DFT total energy = -39.7 eV/f.u.

Geometry as extended XYZ:
```
64
Lattice="7.865 0.000 0.000 0.000 13.352 0.000 0.000 0.000 13.352" Properties=species:S:1:pos:R:3 pbc="T T T"
Na 4.516 0.000 6.676
Na 3.349 6.676 0.000
Na 7.281 6.676 0.000
Na 0.584 0.000 6.676
Na 5.614 6.676 6.676
Na 2.251 6.676 6.676
Na 6.184 0.000 0.000
Na 1.681 0.000 0.000
Na 6.689 10.087 6.074
Na 1.176 7.278 10.087
Na 1.176 6.074 3.266
Na 6.689 3.266 7.278
Na 5.108 3.410 0.602
Na 5.108 9.942 12.751
Na 2.757 12.751 3.410
Na 2.757 0.602 9.942
Na 7.348 10.078 2.657
Na 0.517 10.696 10.078
Na 0.517 2.657 3.274
Na 7.348 3.274 10.696
Na 4.450 3.402 4.020
Na 4.450 9.950 9.333
Na 3.415 9.333 3.402
Na 3.415 4.020 9.950
V 6.107 0.147 3.491
V 2.174 3.185 6.529
V 2.174 10.168 6.823
V 5.691 6.529 10.168
V 5.691 6.823 3.185
V 6.107 13.206 9.861
V 1.759 3.491 13.206
V 1.759 9.861 0.147
S 5.355 8.131 1.509
S 3.153 2.155 12.280
S 3.153 11.197 1.073
S 4.712 12.280 11.197
S 4.712 1.073 2.155
S 7.086 5.603 8.831
S 0.779 4.521 5.603
S 0.779 8.831 7.749
S 4.016 9.142 6.531
S 3.850 6.821 9.142
S 3.850 6.531 4.211
S 4.016 4.211 6.821
S 7.782 2.466 0.145
S 7.782 10.887 13.208
S 0.083 13.208 2.466
S 0.083 0.145 10.887
S 5.292 11.618 4.149
S 2.573 9.203 11.618
S 2.573 4.149 1.735
S 5.292 1.735 9.203
S 1.422 5.167 11.898
S 6.505 8.411 10.825
S 1.360 10.825 4.941
S 1.360 2.527 8.411
S 7.086 7.749 4.521
S 2.511 11.843 8.131
S 2.511 1.509 5.222
S 5.355 5.222 11.843
S 6.443 1.454 5.167
S 6.443 11.898 8.186
S 1.422 8.186 1.454
S 6.505 4.941 2.527
```